{"formula": "LiZrAs2", "functional": "PBE", "state": "relaxed", "lattice_angstrom": [[-2.5712, -3.1189, 2.4336], [-4.6130, -0.4531, -0.8808], [-1.6254, -3.8865, -2.1247]], "species": ["As", "As", "Li", "Zr"], "frac_coords": [[0.7500, 0.7500, 0.7500], [0.2500, 0.2500, 0.2500], [0.0000, 0.0000, 0.0000], [0.5000, 0.5000, 0.5000]], "volume_a3_per_atom": 18.57, "relative_energy_mev_per_atom": 261.7}

=====

{"formula": "Pm6SnPd2", "functional": "PBE", "state": "relaxed", "lattice_angstrom": [[8.8111, -0.1401, -0.0783], [-3.4680, 8.1011, 0.0783], [-2.9359, -3.8031, 7.3877]], "species": ["Pm", "Pm", "Pm", "Pm", "Pm", "Pm", "Pm", "Pm", "Pm", "Pm", "Pm", "Pm", "Pd", "Pd", "Pd", "Pd", "Sn", "Sn"], "frac_coords": [[0.8948, 0.7114, 0.1834], [0.5279, 0.7114, 0.8166], [0.1052, 0.2886, 0.8166], [0.4721, 0.2886, 0.1834], [0.1989, 0.2350, 0.4339], [0.6987, 0.0245, 0.3258], [0.3013, 0.9755, 0.6742], [0.6987, 0.3730, 0.6742], [0.3013, 0.6270, 0.3258], [0.8011, 0.7650, 0.5661], [0.1989, 0.7650, 0.9639], [0.8011, 0.2350, 0.0361], [0.3508, 0.0000, 0.3508], [0.5000, 0.6293, 0.1293], [0.6492, 0.0000, 0.6492], [0.5000, 0.3707, 0.8707], [0.0000, 0.5000, 0.5000], [0.0000, 0.0000, 0.0000]], "volume_a3_per_atom": 29.08}

=====

{"formula": "La2Te2I", "functional": "PBE", "state": "relaxed", "lattice_angstrom": [[4.6113, 0.0000, 0.0000], [0.0000, 6.3619, 0.0000], [-2.3057, -3.1810, 6.9053]], "species": ["Te", "Te", "La", "La", "I"], "frac_coords": [[0.3361, 0.3361, 0.6722], [0.6639, 0.6639, 0.3278], [0.3246, 0.8246, 0.6492], [0.6754, 0.1754, 0.3508], [0.0000, 0.0000, 0.0000]], "volume_a3_per_atom": 40.52, "relative_energy_mev_per_atom": 99.2, "e_form_raw_ev_per_atom": -1.4660}

=====

Short version: electronic total energy = -5.489, -5.298, -5.004 eV per atom, in the order given.
Short version: DOS(E_F) = 2.0, 9.7, 3.0 states/eV/f.u., in the order given.